Record 1
## CaFeSb2I (GGA-PBE)

Data for crystalline CaFeSb2I at its relaxed geometry.

Computed properties:
**Relative energy among the computed polymorphs**: 94.4 kJ/mol of atoms
**Uncorrected formation energy**: 0.9037 eV per atom

Lattice parameters (Å, degrees): 5.870 5.870 5.779 90.00 90.00 90.00
Space group P4/mmm (No. 123)
Symmetry-distinct sites (fractional):
Ca1 0.000 0.000 0.000 x1
Fe1 0.500 0.500 0.500 x1
Sb1 0.000 0.500 0.000 x2
I1 0.000 0.000 0.500 x1

=====

Record 2
## Na2CaSn (GGA-PBE)

Data for crystalline Na2CaSn at its relaxed geometry.

Computed properties:
**Formation enthalpy at 0 K**: -84 kJ/mol of formula units

Lattice parameters (Å, degrees): 9.214 7.430 9.906 90.00 122.49 90.00
Space group P2_1/c (No. 14)
Symmetry-distinct sites (fractional):
Na1 0.116 0.249 0.057 x4
Na2 0.181 0.687 0.841 x4
Ca1 0.499 0.000 0.788 x4
Sn1 0.404 0.184 0.452 x4

=====

Record 3
## ScMo (GGA-PBE)

Data for crystalline ScMo at its relaxed geometry.

Computed properties:
**Relative energy among the computed polymorphs**: 36.6 kJ/mol of atoms
**Formation enthalpy at 0 K**: 68 kJ/mol of formula units

Lattice parameters (Å, degrees): 2.9487 2.9487 9.8596 90.00 90.00 120.00
Space group P6_3/mmc (No. 194)
Symmetry-distinct sites (fractional):
Sc1 0.0000 0.0000 0.0000 x2
Mo1 0.3333 0.6667 0.2500 x2

=====

Record 4
## AcNdBi2 (GGA-PBE)

Data for crystalline AcNdBi2 at its relaxed geometry.

Computed properties:
**Relative energy among the computed polymorphs**: 23.3 kJ/mol of atoms
**Formation enthalpy at 0 K**: -280 kJ/mol of formula units

Lattice parameters (Å, degrees): 8.178 8.178 8.178 90.00 90.00 90.00
Space group Fm-3m (No. 225)
Symmetry-distinct sites (fractional):
Ac1 0.000 0.000 0.000 x4
Nd1 0.000 0.000 0.500 x4
Bi1 0.250 0.250 0.250 x8

=====

Record 5
## PmEuEr (GGA-PBE)

Data for crystalline PmEuEr at its relaxed geometry.

Computed properties:
**Formation enthalpy at 0 K**: 15 kJ/mol of formula units

Lattice parameters (Å, degrees): 3.6579 3.6579 8.9872 90.00 90.00 120.00
Space group P3m1 (No. 156)
Symmetry-distinct sites (fractional):
Pm1 0.0000 0.0000 0.0000 x1
Eu1 0.3333 0.6667 0.6489 x1
Er1 0.6667 0.3333 0.3110 x1

=====

Record 6
## Pm3Mg2Hg4 (GGA-PBE)

Data for crystalline Pm3Mg2Hg4 at its relaxed geometry.

Computed properties:
**Relative energy among the computed polymorphs**: 1.6 kJ/mol of atoms
**Formation enthalpy at 0 K**: -338 kJ/mol of formula units

Lattice parameters (Å, degrees): 11.238 5.017 9.336 90.00 119.78 90.00
Space group C2/m (No. 12)
Symmetry-distinct sites (fractional):
Pm1 0.000 0.000 0.000 x2
Pm2 0.158 0.500 0.676 x4
Mg1 0.128 0.500 0.297 x4
Hg1 0.068 0.000 0.394 x4
Hg2 0.213 0.500 0.058 x4

=====

Record 7
## EuAgSnPb (GGA-PBE)

Data for crystalline EuAgSnPb at its relaxed geometry.

Computed properties:
**Formation enthalpy at 0 K**: -89 kJ/mol of formula units

Lattice parameters (Å, degrees): 7.621 7.621 7.621 90.00 90.00 90.00
Space group F-43m (No. 216)
Symmetry-distinct sites (fractional):
Eu1 0.000 0.000 0.000 x4
Ag1 0.250 0.250 0.250 x4
Sn1 0.250 0.250 0.750 x4
Pb1 0.000 0.000 0.500 x4

=====

Record 8
## Na4PuSc3O8 (GGA-PBE)

Data for crystalline Na4PuSc3O8 at its relaxed geometry.

Computed properties:
**Uncorrected formation energy**: -2.6913 eV per atom

Lattice parameters (Å, degrees): 6.5434 6.5434 16.5645 90.00 90.00 120.00
Space group R-3m (No. 166, hexagonal axes)
Symmetry-distinct sites (fractional):
Na1 0.0000 0.0000 0.0000 x3
Na2 0.0000 0.5000 0.0000 x9
Pu1 0.0000 0.0000 0.5000 x3
Sc1 0.0000 0.5000 0.5000 x9
O1 0.0000 0.0000 0.2346 x6
O2 0.0162 0.5081 0.7641 x18

=====

E (computed, eV/f.u.): -15.740, -9.516, -16.453, -19.539, -19.434, -22.148, -21.761, -121.329